! Pr2ScAl3Pd4 (PBE, relaxed); values from VASP
&SYSTEM
  ibrav = 0, nat = 10, ntyp = 4
/
ATOMIC_SPECIES
Sc 44.96 Sc.upf
Pd 106.42 Pd.upf
Al 26.98 Al.upf
Pr 140.91 Pr.upf
CELL_PARAMETERS angstrom
-3.993 -1.720 0.211
0.324 -0.222 4.335
-4.202 9.857 0.819
ATOMIC_POSITIONS angstrom
Sc -3.935 3.957 2.682
Pd -4.704 5.491 0.633
Pd -1.834 -0.971 2.273
Pd -1.333 3.395 2.459
Pd 0.000 0.000 0.000
Al -0.344 1.075 2.266
Al -5.693 7.810 0.826
Al -2.101 4.928 0.410
Pr -2.993 1.478 0.300
Pr -3.043 7.408 2.792
! Calculated formation energy in eV/atom: -0.83
! Density of states at the Fermi level in states/eV per atom: 0.69
! Space-group type: P-4m2

***

! Ti3BH (PBE, relaxed); values from VASP
&SYSTEM
  ibrav = 0, nat = 10, ntyp = 3
/
ATOMIC_SPECIES
B 10.81 B.upf
Ti 47.87 Ti.upf
H 1.01 H.upf
CELL_PARAMETERS angstrom
-1.808 1.196 2.354
1.542 -1.997 4.376
5.533 4.966 1.727
ATOMIC_POSITIONS angstrom
B 4.815 3.989 7.261
B 0.707 -0.227 6.246
Ti 5.087 4.541 2.837
Ti 1.595 2.103 5.744
Ti 2.386 3.656 3.387
Ti 0.701 0.022 3.941
Ti 1.423 1.732 1.449
Ti 4.366 2.831 5.329
H 1.495 1.870 3.612
H 4.293 2.693 3.166
! Density of states at the Fermi level in states/eV per atom: 0.86
! Offset from the most stable computed form in meV/atom: 0.0
! Space-group type: C2/m

***

! Cs5KPd (PBE, relaxed); values from VASP
&SYSTEM
  ibrav = 0, nat = 14, ntyp = 3
/
ATOMIC_SPECIES
Cs 132.91 Cs.upf
Pd 106.42 Pd.upf
K 39.10 K.upf
CELL_PARAMETERS angstrom
1.990 9.950 -8.055
10.026 -8.055 1.559
-11.562 -6.048 -1.661
ATOMIC_POSITIONS angstrom
Cs -0.927 4.035 -7.004
Cs 1.016 -3.060 -0.960
Cs 2.923 -3.545 -5.814
Cs -2.470 -0.608 -2.343
Cs 1.380 -8.188 -1.153
Cs -0.562 -1.093 -7.197
Cs -1.193 -5.036 -5.165
Cs -5.802 -1.020 -6.750
Cs 1.647 0.883 -2.991
Cs 6.255 -3.133 -1.406
Pd 0.000 0.000 0.000
Pd 0.227 -2.076 -4.078
K -5.576 -4.268 -2.760
K 6.030 0.115 -5.397
! Calculated formation energy in eV/atom: 0.06
! Density of states at the Fermi level in states/eV per atom: 0.62
! Space-group type: C2/c

***

! KMnBr2 (PBE, relaxed); values from VASP
&SYSTEM
  ibrav = 0, nat = 4, ntyp = 3
/
ATOMIC_SPECIES
Br 79.90 Br.upf
K 39.10 K.upf
Mn 54.94 Mn.upf
CELL_PARAMETERS angstrom
5.594 0.000 0.000
2.797 4.845 0.000
2.797 1.615 4.568
ATOMIC_POSITIONS angstrom
Br 2.797 1.615 1.142
Br 0.000 0.000 0.000
K 5.594 3.230 2.284
Mn 8.391 4.845 3.426
! Density of states at the Fermi level in states/eV per atom: 0.47
! Offset from the most stable computed form in meV/atom: 614.8
! Space-group type: F-43m

***

! Hf2V2Au (PBE, relaxed); values from VASP
&SYSTEM
  ibrav = 0, nat = 10, ntyp = 3
/
ATOMIC_SPECIES
Au 196.97 Au.upf
Hf 178.49 Hf.upf
V 50.94 V.upf
CELL_PARAMETERS angstrom
-3.336 6.384 0.914
-6.439 -3.239 -0.877
-0.178 -0.595 3.505
ATOMIC_POSITIONS angstrom
Au -4.888 1.572 0.018
Au 0.000 0.000 0.000
Hf -2.779 -0.254 -0.184
Hf -3.056 3.639 0.462
Hf -6.720 -0.494 -0.425
Hf -6.996 3.398 0.221
V -5.129 3.979 2.223
V -2.238 1.402 1.932
V -4.824 -1.430 1.320
V -7.715 1.147 1.610
! Calculated formation energy in eV/atom: 0.37
! Density of states at the Fermi level in states/eV per atom: 1.14
! Offset from the most stable computed form in meV/atom: 377.2
! Space-group type: P4/mbm

***

! KLa2Sc (PBE, relaxed); values from VASP
&SYSTEM
  ibrav = 0, nat = 4, ntyp = 3
/
ATOMIC_SPECIES
Sc 44.96 Sc.upf
La 138.91 La.upf
K 39.10 K.upf
CELL_PARAMETERS angstrom
5.276 0.000 0.000
0.000 5.272 0.000
0.000 0.000 5.272
ATOMIC_POSITIONS angstrom
Sc 2.638 2.636 0.000
La 0.000 0.000 0.000
La 0.000 2.636 2.636
K 2.638 0.000 2.636
! Calculated formation energy in eV/atom: 0.53
! Density of states at the Fermi level in states/eV per atom: 1.79
! Offset from the most stable computed form in meV/atom: 336.1
! Space-group type: P4/mmm

***

! LiCaRh2 (PBE, relaxed); values from VASP
&SYSTEM
  ibrav = 0, nat = 4, ntyp = 3
/
ATOMIC_SPECIES
Li 6.94 Li.upf
Ca 40.08 Ca.upf
Rh 102.91 Rh.upf
CELL_PARAMETERS angstrom
-1.514 4.859 -2.265
-2.790 0.067 -4.821
0.196 -1.597 5.333
ATOMIC_POSITIONS angstrom
Li -2.277 0.356 -1.358
Ca -2.176 2.490 -3.582
Rh -1.835 2.976 -0.401
Rh -4.277 4.895 -7.042
! Calculated formation energy in eV/atom: -0.09
! Density of states at the Fermi level in states/eV per atom: 0.91
! Space-group type: Imm2

***

! BH3F (PBE, relaxed); values from VASP
&SYSTEM
  ibrav = 0, nat = 10, ntyp = 3
/
ATOMIC_SPECIES
H 1.01 H.upf
B 10.81 B.upf
F 19.00 F.upf
CELL_PARAMETERS angstrom
3.040 -0.157 0.312
-0.308 5.721 0.444
0.503 -2.440 5.142
ATOMIC_POSITIONS angstrom
H 0.877 -0.465 1.514
H 3.022 3.491 4.149
H 0.738 2.834 2.932
H 0.881 -1.541 5.232
H 1.749 0.978 3.330
H 0.491 2.243 5.265
B 2.853 3.183 5.316
B 0.770 5.520 0.805
F 1.292 2.275 2.364
F 2.175 0.459 4.014
! Density of states at the Fermi level in states/eV per atom: 0.00
! Offset from the most stable computed form in meV/atom: 0.0
! Space-group type: P1

***

! ErTm2Te (PBE, relaxed); values from VASP
&SYSTEM
  ibrav = 0, nat = 4, ntyp = 3
/
ATOMIC_SPECIES
Tm 168.93 Tm.upf
Te 127.60 Te.upf
Er 167.26 Er.upf
CELL_PARAMETERS angstrom
-0.096 3.766 -0.596
-3.150 0.258 2.136
4.382 1.114 6.329
ATOMIC_POSITIONS angstrom
Tm 0.999 0.254 1.443
Tm 3.383 0.860 4.886
Te -1.623 2.012 0.770
Er 0.568 2.569 3.934
! Density of states at the Fermi level in states/eV per atom: 1.19
! Offset from the most stable computed form in meV/atom: 92.7
! Space-group type: P4/mmm

***

! TiRu3F (PBE, relaxed); values from VASP
&SYSTEM
  ibrav = 0, nat = 5, ntyp = 3
/
ATOMIC_SPECIES
Ru 101.07 Ru.upf
Ti 47.87 Ti.upf
F 19.00 F.upf
CELL_PARAMETERS angstrom
-2.840 -1.858 -2.412
2.686 0.026 -3.182
1.435 -3.726 1.181
ATOMIC_POSITIONS angstrom
Ru 1.343 0.013 -1.591
Ru 0.718 -1.863 0.590
Ru -1.420 -0.929 -1.206
Ti 0.640 -2.779 -2.207
F 0.000 0.000 0.000
! Density of states at the Fermi level in states/eV per atom: 1.44
! Offset from the most stable computed form in meV/atom: 0.0
! Space-group type: Pm-3m

***

! Ho7In2Ga2 (PBE, relaxed); values from VASP
&SYSTEM
  ibrav = 0, nat = 11, ntyp = 3
/
ATOMIC_SPECIES
Ho 164.93 Ho.upf
In 114.82 In.upf
Ga 69.72 Ga.upf
CELL_PARAMETERS angstrom
-2.194 -2.027 6.116
2.007 -6.865 -1.555
6.545 1.799 0.502
ATOMIC_POSITIONS angstrom
Ho 2.536 -6.111 5.238
Ho 0.000 0.000 0.000
Ho 5.998 -1.095 3.134
Ho 2.672 -1.811 2.925
Ho 3.686 -5.281 2.139
Ho 0.360 -5.998 1.929
Ho 3.822 -0.981 -0.175
In 1.781 -3.473 0.405
In 4.578 -3.619 4.659
Ga 6.024 -6.173 0.571
Ga 0.334 -0.920 4.492
! Calculated formation energy in eV/atom: -0.19
! Density of states at the Fermi level in states/eV per atom: 0.90
! Space-group type: Cmmm

***

! Tb6PrIn4 (PBE, relaxed); values from VASP
&SYSTEM
  ibrav = 0, nat = 11, ntyp = 3
/
ATOMIC_SPECIES
In 114.82 In.upf
Tb 158.93 Tb.upf
Pr 140.91 Pr.upf
CELL_PARAMETERS angstrom
3.741 0.000 0.000
0.000 10.173 0.000
0.000 -5.087 8.810
ATOMIC_POSITIONS angstrom
In 1.871 7.683 1.438
In 1.871 5.087 5.935
In 0.000 0.000 5.874
In 1.871 2.490 1.438
Tb 1.871 -2.168 7.125
Tb 1.871 2.168 7.125
Tb 0.000 5.087 0.674
Tb 1.871 0.000 3.370
Tb 0.000 3.127 4.068
Tb 0.000 7.047 4.068
Pr 0.000 0.000 0.000
! Calculated formation energy in eV/atom: -0.30
! Density of states at the Fermi level in states/eV per atom: 0.92
! Space-group type: P-6m2

***

Question: density of states at the Fermi level of number 11 (Ho7In2Ga2)?
Answer: 0.90 states/eV per atom